(1)
DFT (PBE) results for TiMnPdPt after structural relaxation.

a = 4.7411 Å, b = 4.7411 Å, c = 4.7411 Å
α = 132.46°, β = 132.46°, γ = 69.51°
With the nearest neighbours (Å) after each atom.
Fractional positions:
Ti 0.0000 0.0000 0.0000  4 Mn 2.70, 4 Pd 2.73, 4 Pt 2.73
Mn 0.5000 0.5000 0.0000  4 Ti 2.70, 4 Pd 2.73, 4 Pt 2.73
Pd 0.7500 0.2500 0.5000  4 Pt 2.70, 4 Mn 2.73, 4 Ti 2.73
Pt 0.2500 0.7500 0.5000  4 Pd 2.70, 4 Mn 2.73, 4 Ti 2.73

For the formation energy, the calculation gives -379 meV/atom. The calculation puts the density of states at the Fermi level at 5.108 states/eV/f.u. The crystal system is tetragonal.



(2)
DFT (PBE) results for MnTlPdPt after structural relaxation.

a = 4.5953 Å, b = 4.5953 Å, c = 4.5953 Å
α = 60.00°, β = 60.00°, γ = 60.00°
With the nearest neighbours (Å) after each atom.
Fractional positions:
Mn 0.0000 0.0000 0.0000  4 Pt 2.81, 4 Pd 2.81
Tl 0.5000 0.5000 0.5000  4 Pt 2.81, 4 Pd 2.81
Pd 0.2500 0.2500 0.2500  4 Tl 2.81, 4 Mn 2.81
Pt 0.7500 0.7500 0.7500  4 Tl 2.81, 4 Mn 2.81

For the formation energy, the calculation gives -132 meV/atom. The calculation puts the density of states at the Fermi level at 2.198 states/eV/f.u. The crystal system is cubic.



(3)
DFT (PBE) results for TmMnPdPt after structural relaxation.

a = 4.6656 Å, b = 4.6656 Å, c = 4.6656 Å
α = 60.00°, β = 60.00°, γ = 60.00°
With the nearest neighbours (Å) after each atom.
Fractional positions:
Tm 0.0000 0.0000 0.0000  4 Pt 2.86, 4 Pd 2.86
Mn 0.5000 0.5000 0.5000  4 Pd 2.86, 4 Pt 2.86
Pd 0.7500 0.7500 0.7500  4 Tm 2.86, 4 Mn 2.86
Pt 0.2500 0.2500 0.2500  4 Mn 2.86, 4 Tm 2.86

For the formation energy, the calculation gives -706 meV/atom. The calculation puts the density of states at the Fermi level at 2.215 states/eV/f.u. The crystal system is cubic.



(4)
DFT (PBE) results for Y2MnPdPt after structural relaxation.

a = 5.2740 Å, b = 5.2740 Å, c = 4.6990 Å
α = 90.00°, β = 90.00°, γ = 90.00°
With the nearest neighbours (Å) after each atom.
Fractional positions:
Y 0.0000 0.5000 0.0000  2 Pd 2.64
Y 0.5000 0.0000 0.0000  2 Pd 2.64
Mn 0.0000 0.0000 0.5000  2 Pd 2.35
Pd 0.0000 0.0000 0.0000  2 Mn 2.35
Pt 0.5000 0.5000 0.5000  8 Y 3.53, 4 Mn 3.73

For the formation energy, the calculation gives 59 meV/atom. The calculation puts the density of states at the Fermi level at 3.339 states/eV/f.u. The crystal system is tetragonal.